Record 1
A plane-wave DFT calculation with GGA-PBE was carried out for crystalline KRbZn2P at its relaxed geometry.

Cell: 5.1527 5.1527 6.2235 Å, 90.00 90.00 90.00°
Space group P4/mmm (No. 123)
One atom of each set of equivalent atoms:
1 K 0.0000 0.0000 0.0000 x1
2 Rb 0.5000 0.5000 0.0000 x1
3 Zn 0.0000 0.5000 0.5000 x2
4 P 0.5000 0.5000 0.5000 x1

Results
mass density: 2.9 g cm⁻³
calculated volume: 33.05 Å³ per atom
crystal system: tetragonal
D(E_F): 2.2 states/eV per cell
calculated total energy: -8.98 eV per cell


Record 2
A plane-wave DFT calculation with GGA-PBE was carried out for crystalline Sc2Tc2Pd at its relaxed geometry.

Cell: 6.7759 6.7759 3.9969 Å, 90.00 90.00 90.00°
Space group P4/mbm (No. 127)
One atom of each set of equivalent atoms:
1 Sc 0.1794 0.3206 0.0000 x4
2 Tc 0.1186 0.6186 0.5000 x4
3 Pd 0.0000 0.0000 0.5000 x2

Results
mass density: 7.1 g cm⁻³
calculated volume: 18.35 Å³ per atom
crystal system: tetragonal
D(E_F): 7.2 states/eV per cell
calculated total energy: -78.41 eV per cell


The highest D(E_F) belongs to which entry? Sc2Tc2Pd


What is the D(E_F) in the second record? 7.2 states/eV per cell


Repeat the second record exactly.
A plane-wave DFT calculation with GGA-PBE was carried out for crystalline Sc2Tc2Pd at its relaxed geometry.

Cell: 6.7759 6.7759 3.9969 Å, 90.00 90.00 90.00°
Space group P4/mbm (No. 127)
One atom of each set of equivalent atoms:
1 Sc 0.1794 0.3206 0.0000 x4
2 Tc 0.1186 0.6186 0.5000 x4
3 Pd 0.0000 0.0000 0.5000 x2

Results
mass density: 7.1 g cm⁻³
calculated volume: 18.35 Å³ per atom
crystal system: tetragonal
D(E_F): 7.2 states/eV per cell
calculated total energy: -78.41 eV per cell